Entry from the Alexandria database: EuSbO4 at its PBEsol-relaxed geometry (meta-GGA SCAN).

Results
Its raw formation energy is -1312 kJ/mol of formula units. As for the energy: -21.58 eV per atom. The value obtained for the magnetic moment is 6.00 μB per formula unit. As for the density of states at the Fermi level: 0.403 states/eV/f.u.

Unit cell a=7.6563 b=5.4222 c=7.5670 alpha=90.00 beta=99.39 gamma=90.00
Last column: nearest neighbours and their distance in Å.
Space group P2_1/c (No. 14)
Inequivalent atoms, fractional coordinates:
Eu  0.1429  0.2288  0.3953 (multiplicity 4)  6 O 2.29-2.49
Sb  0.3381  0.7301  0.1949 (multiplicity 4)  6 O 1.97-2.02
O  0.1200  0.5161  0.1692 (multiplicity 4)  1 Sb 2.02
O  0.1648  0.5039  0.6268 (multiplicity 4)  1 Sb 1.97
O  0.3319  0.6292  0.9401 (multiplicity 4)  2 Sb 2.00-2.01
O  0.4361  0.0909  0.8063 (multiplicity 4)  2 Sb 1.98-2.02

Entry from the Alexandria database: Sr2EuSbO6 at its PBEsol-relaxed geometry (meta-GGA SCAN).

Results
Its raw formation energy is -2538 kJ/mol of formula units. As for the energy: -19.92 eV per atom. The value obtained for the magnetic moment is 6.00 μB per formula unit. As for the density of states at the Fermi level: 5.917 states/eV/f.u.

Unit cell a=8.3835 b=8.3835 c=8.3835 alpha=90.00 beta=90.00 gamma=90.00
Last column: nearest neighbours and their distance in Å.
Space group Fm-3m (No. 225)
Inequivalent atoms, fractional coordinates:
Sr  0.2500  0.2500  0.2500 (multiplicity 8)  12 O 2.97
Eu  0.0000  0.0000  0.0000 (multiplicity 4)  6 O 2.22
Sb  0.0000  0.0000  0.5000 (multiplicity 4)  6 O 1.98
O  0.0000  0.0000  0.2642 (multiplicity 24)  1 Sb 1.98

Entry from the Alexandria database: TbEu2SbO6 at its PBEsol-relaxed geometry (meta-GGA SCAN).

Results
Its raw formation energy is -2731 kJ/mol of formula units. As for the energy: -25.71 eV per atom. The value obtained for the magnetic moment is 14.00 μB per formula unit.

Unit cell a=8.3048 b=8.3048 c=8.3048 alpha=90.00 beta=90.00 gamma=90.00
Last column: nearest neighbours and their distance in Å.
Space group Fm-3m (No. 225)
Inequivalent atoms, fractional coordinates:
Tb  0.0000  0.0000  0.0000 (multiplicity 4)  6 O 2.18
Eu  0.2500  0.2500  0.2500 (multiplicity 8)  12 O 2.94
Sb  0.0000  0.0000  0.5000 (multiplicity 4)  6 O 1.97
O  0.0000  0.0000  0.2626 (multiplicity 24)  1 Sb 1.97, 1 Tb 2.18

Entry from the Alexandria database: EuSeO4 at its PBEsol-relaxed geometry (meta-GGA SCAN).

Results
Its raw formation energy is -1057 kJ/mol of formula units. As for the energy: -18.28 eV per atom. As for the offset from the most stable computed form: 0.0 meV/atom. The value obtained for the magnetic moment is 6.96 μB per formula unit. As for the density of states at the Fermi level: 9.845 states/eV/f.u.

Unit cell a=6.7939 b=7.2452 c=8.4583 alpha=90.00 beta=126.41 gamma=90.00
Last column: nearest neighbours and their distance in Å.
Space group P2_1/c (No. 14)
Inequivalent atoms, fractional coordinates:
Eu  0.1817  0.1530  0.2801 (multiplicity 4)  8 O 2.49-2.65
Se  0.3117  0.6631  0.1975 (multiplicity 4)  4 O 1.69-1.71
O  0.1111  0.6569  0.6092 (multiplicity 4)  1 Se 1.71
O  0.1775  0.0030  0.7452 (multiplicity 4)  1 Se 1.70
O  0.3444  0.6069  0.0199 (multiplicity 4)  1 Se 1.69
O  0.3943  0.2107  0.1147 (multiplicity 4)  1 Se 1.69

Entry from the Alexandria database: EuSeO4 at its PBEsol-relaxed geometry (meta-GGA SCAN).

Results
Its raw formation energy is -1018 kJ/mol of formula units. As for the energy: -18.21 eV per atom. As for the offset from the most stable computed form: 67.6 meV/atom. The value obtained for the magnetic moment is 6.99 μB per formula unit. As for the density of states at the Fermi level: 6.861 states/eV/f.u.

Unit cell a=5.8050 b=8.5100 c=7.9837 alpha=90.00 beta=90.00 gamma=90.00
Last column: nearest neighbours and their distance in Å.
Space group Cmcm (No. 63)
Inequivalent atoms, fractional coordinates:
Eu  0.0000  0.0000  0.0000 (multiplicity 4)  6 O 2.41-2.48
Se  0.0000  0.3780  0.2500 (multiplicity 4)  4 O 1.67-1.72
O  0.0000  0.2746  0.0718 (multiplicity 8)  1 Se 1.67
O  0.2486  0.4869  0.2500 (multiplicity 8)  1 Se 1.72

Entry from the Alexandria database: Sr2EuWO6 at its PBEsol-relaxed geometry (meta-GGA SCAN).

Results
Its raw formation energy is -2779 kJ/mol of formula units. As for the energy: -23.41 eV per atom. The value obtained for the magnetic moment is 7.01 μB per formula unit. As for the density of states at the Fermi level: 7.166 states/eV/f.u.

Unit cell a=8.3950 b=8.3950 c=8.3950 alpha=90.00 beta=90.00 gamma=90.00
Last column: nearest neighbours and their distance in Å.
Space group Fm-3m (No. 225)
Inequivalent atoms, fractional coordinates:
Sr  0.2500  0.2500  0.2500 (multiplicity 8)  12 O 2.97
Eu  0.0000  0.0000  0.0000 (multiplicity 4)  6 O 2.27
W  0.0000  0.0000  0.5000 (multiplicity 4)  6 O 1.93
O  0.0000  0.0000  0.2699 (multiplicity 24)  1 W 1.93

Entry from the Alexandria database: EuTaO4 at its PBEsol-relaxed geometry (meta-GGA SCAN).

Results
Its raw formation energy is -1835 kJ/mol of formula units. As for the energy: -27.37 eV per atom. The value obtained for the magnetic moment is 6.00 μB per formula unit. As for the density of states at the Fermi level: 0.169 states/eV/f.u.

Unit cell a=7.0374 b=11.0344 c=5.0842 alpha=90.00 beta=129.75 gamma=90.00
Last column: nearest neighbours and their distance in Å.
Space group C2/c (No. 15)
Inequivalent atoms, fractional coordinates:
Eu  0.0000  0.1330  0.2500 (multiplicity 4)  8 O 2.34-2.50
Ta  0.0000  0.4023  0.7500 (multiplicity 4)  4 O 1.88-1.96
O  0.1541  0.2899  0.6637 (multiplicity 8)  1 Ta 1.88
O  0.2346  0.4705  0.2106 (multiplicity 8)  1 Ta 1.96

Entry from the Alexandria database: TbEu2TaO6 at its PBEsol-relaxed geometry (meta-GGA SCAN).

Results
Its raw formation energy is -3205 kJ/mol of formula units. As for the energy: -29.14 eV per atom. The value obtained for the magnetic moment is 14.00 μB per formula unit.

Unit cell a=8.3266 b=8.3266 c=8.3266 alpha=90.00 beta=90.00 gamma=90.00
Last column: nearest neighbours and their distance in Å.
Space group Fm-3m (No. 225)
Inequivalent atoms, fractional coordinates:
Tb  0.0000  0.0000  0.0000 (multiplicity 4)  6 O 2.19
Eu  0.2500  0.2500  0.2500 (multiplicity 8)  12 O 2.95
Ta  0.0000  0.0000  0.5000 (multiplicity 4)  6 O 1.97
O  0.0000  0.0000  0.2629 (multiplicity 24)  1 Ta 1.97, 1 Tb 2.19

What did the fourth record say?
Entry from the Alexandria database: EuSeO4 at its PBEsol-relaxed geometry (meta-GGA SCAN).

Results
Its raw formation energy is -1057 kJ/mol of formula units. As for the energy: -18.28 eV per atom. As for the offset from the most stable computed form: 0.0 meV/atom. The value obtained for the magnetic moment is 6.96 μB per formula unit. As for the density of states at the Fermi level: 9.845 states/eV/f.u.

Unit cell a=6.7939 b=7.2452 c=8.4583 alpha=90.00 beta=126.41 gamma=90.00
Last column: nearest neighbours and their distance in Å.
Space group P2_1/c (No. 14)
Inequivalent atoms, fractional coordinates:
Eu  0.1817  0.1530  0.2801 (multiplicity 4)  8 O 2.49-2.65
Se  0.3117  0.6631  0.1975 (multiplicity 4)  4 O 1.69-1.71
O  0.1111  0.6569  0.6092 (multiplicity 4)  1 Se 1.71
O  0.1775  0.0030  0.7452 (multiplicity 4)  1 Se 1.70
O  0.3444  0.6069  0.0199 (multiplicity 4)  1 Se 1.69
O  0.3943  0.2107  0.1147 (multiplicity 4)  1 Se 1.69

magnetic moment of number 8 (TbEu2TaO6)? 14.00 μB per formula unit